The following is a GGA-PBE calculation of a relaxed BiMo4PC2 crystal, from the Open Quantum Materials Database.

a b c (Å): 3.2753 3.2753 12.5918
angles (deg): 90.00 90.00 120.00
Space group P-6m2 (No. 187)
Asymmetric unit:
Bi 0.0000 0.0000 0.0000
Mo 0.0000 0.0000 0.3716
Mo 0.3333 0.6667 0.2026
P 0.3333 0.6667 0.5000
C 0.6667 0.3333 0.2696

Computed properties:
Total energy   -71.27 eV for the cell shown